## Tl2CrCl (meta-GGA SCAN)

Data for Tl2CrCl at its PBEsol-relaxed geometry.

abc: 3.220 3.220 8.958
angles: 90.00 90.00 90.00
Fractional positions:
Tl (0.500, 0.500, 0.250)
Tl (0.000, 0.000, 0.952)
Cr (0.500, 0.500, 0.724)
Cl (0.000, 0.000, 0.574)

Computed properties:
**Mass density**: 8.87 Mg/m³
**D(E_F)**: 0.4412 states/eV per atom
**Polymorph energy (0 for the lowest one)**: 7 meV/atom
**E_form (uncorrected)**: -0.234 eV/atom
**Space-group type**: P4mm, No. 99
**Magnetization**: 1.085 μB/atom